[1]
Here is an optimized crystal structure of BeReIr from Alexandria via LeMat-Bulk. Energies are from PBE.

Summary:
energy of formation from the pure elements: -0.1586 eV/atom

The structure in CIF format:
```
data_BeReIr
_chemical_formula_sum 'Be2 Re2 Ir2'
_cell_length_a 2.735
_cell_length_b 4.067
_cell_length_c 7.020
_cell_angle_alpha 90.00
_cell_angle_beta 92.25
_cell_angle_gamma 90.00
_symmetry_space_group_name_H-M 'P 1'
_symmetry_Int_Tables_number 1
loop_
_symmetry_equiv_pos_as_xyz
'x,y,z'
loop_
_atom_site_label
_atom_site_type_symbol
_atom_site_fract_x
_atom_site_fract_y
_atom_site_fract_z
_atom_site_occupancy
Be1 Be 0.000 0.000 0.000 1
Be2 Be 0.470 0.500 0.521 1
Re1 Re 0.543 0.500 0.171 1
Re2 Re 0.921 0.000 0.350 1
Ir1 Ir 0.471 0.000 0.677 1
Ir2 Ir 0.991 0.500 0.844 1
```


[2]
Here is an optimized crystal structure of Rh2WSCl from Alexandria via LeMat-Bulk. Energies are from PBE.

Summary:
formation energy from raw total energies: 6.670 eV/f.u.

The structure in CIF format:
```
data_Rh2WSCl
_chemical_formula_sum 'Rh2 W1 S1 Cl1'
_cell_length_a 4.416
_cell_length_b 4.416
_cell_length_c 4.440
_cell_angle_alpha 90.00
_cell_angle_beta 90.00
_cell_angle_gamma 90.00
_symmetry_space_group_name_H-M 'P 1'
_symmetry_Int_Tables_number 1
loop_
_symmetry_equiv_pos_as_xyz
'x,y,z'
loop_
_atom_site_label
_atom_site_type_symbol
_atom_site_fract_x
_atom_site_fract_y
_atom_site_fract_z
_atom_site_occupancy
Rh1 Rh 0.000 0.500 0.000 1
Rh2 Rh 0.500 0.000 0.000 1
W1 W 0.000 0.000 0.500 1
S1 S 0.500 0.500 0.500 1
Cl1 Cl 0.000 0.000 0.000 1
```